# 1
VASP calculation (PBE-GGA) on Sc2TiTl after structural relaxation.

Cell and atoms, written as POSCAR:
```
Sc2TiTl
1.0
-1.1029 1.1423 -2.8425
0.8261 -1.4799 -2.7800
-7.9898 -5.9046 -1.1377
Tl Sc Ti
1 2 1
direct
0.6667 0.6667 0.9999
0.0874 0.0874 0.7377
0.2460 0.2460 0.2621
0.4999 0.4999 0.5003
```

Computed properties:
Calculated formation energy in eV/atom: -0.03
Electronic total energy in eV per atom: -5.77
Magnetic moment in μB/cell: 0.00

# 2
VASP calculation (PBE-GGA) on Cr2CoSb after structural relaxation.

Cell and atoms, written as POSCAR:
```
Cr2CoSb
1.0
-3.4328 -2.7122 1.6948
-2.0888 -4.1557 -0.6166
2.0087 -2.5236 2.7440
Cr Co Sb
2 1 1
direct
0.5068 0.5068 0.4463
0.9932 0.9932 0.0537
0.2500 0.2500 0.2500
0.7500 0.7500 0.7500
```

Computed properties:
Electronic total energy in eV per atom: -7.33
Formation energy (no corrections) in eV per atom: 0.2895
Magnetic moment in μB/cell: 0.48

# 3
VASP calculation (PBE-GGA) on Y2MgZn2Pd5 after structural relaxation.

Cell and atoms, written as POSCAR:
```
Y2MgZn2Pd5
1.0
-2.5077 2.7839 -0.4974
-2.7749 -4.0107 -8.4587
-6.7580 -5.2469 4.7048
Zn Mg Pd Y
4 2 10 4
direct
0.0000 0.1210 0.6210
0.0000 0.8790 0.3790
0.0000 0.6210 0.8790
0.0000 0.3790 0.1210
0.0000 0.5000 0.5000
0.0000 0.0000 0.0000
0.5000 0.5675 0.7054
0.5000 0.9325 0.2054
0.5000 0.0000 0.5000
0.5000 0.2054 0.0675
0.5000 0.4325 0.2946
0.5000 0.0675 0.7946
0.5000 0.7054 0.4325
0.5000 0.7946 0.9325
0.5000 0.5000 0.0000
0.5000 0.2946 0.5675
0.0000 0.1760 0.3240
0.0000 0.8240 0.6760
0.0000 0.3240 0.8240
0.0000 0.6760 0.1760
```

Computed properties:
Calculated formation energy in eV/atom: -0.71
Electronic total energy in eV per atom: -5.01
Magnetic moment in μB/cell: 0.00

# 4
VASP calculation (PBE-GGA) on TlRe2Ni after structural relaxation.

Cell and atoms, written as POSCAR:
```
TlRe2Ni
1.0
-6.7458 2.9766 -5.6140
-4.8765 2.1281 -7.5877
-6.6727 0.2481 -6.4263
Re Tl Ni
2 1 1
direct
0.4899 0.4899 0.4899
0.0101 0.0101 0.0101
0.2500 0.2500 0.2500
0.7500 0.7500 0.7500
```

Computed properties:
Polymorph energy (0 for the lowest one) in meV/atom: 252.4
Calculated formation energy in eV/atom: 0.77
Electronic total energy in eV per atom: -7.49
Magnetic moment in μB/cell: 0.00

# 5
VASP calculation (PBE-GGA) on Pr2Tm3Cd4 after structural relaxation.

Cell and atoms, written as POSCAR:
```
Pr2Tm3Cd4
1.0
6.8262 0.0000 0.0000
0.0000 8.2281 0.0000
-3.4131 0.0000 9.1735
Pr Cd Tm
4 8 6
direct
0.4072 0.1010 0.8143
0.9072 0.3990 0.8143
0.5928 0.8990 0.1857
0.0928 0.6010 0.1857
0.3247 0.2500 0.1494
0.6640 0.5125 0.3281
0.8360 0.0125 0.6719
0.1753 0.7500 0.8506
0.8247 0.2500 0.1494
0.6753 0.7500 0.8506
0.1640 0.9875 0.3281
0.3360 0.4875 0.6719
0.5040 0.7500 0.5080
0.0040 0.7500 0.5080
0.5000 0.5000 0.0000
0.9960 0.2500 0.4920
0.0000 0.0000 0.0000
0.4960 0.2500 0.4920
```

Computed properties:
Calculated formation energy in eV/atom: -0.18
Electronic total energy in eV per atom: -3.13
Magnetic moment in μB/cell: 0.00

# 6
VASP calculation (PBE-GGA) on Ag2Bi2Pd7 after structural relaxation.

Cell and atoms, written as POSCAR:
```
Ag2Bi2Pd7
1.0
-3.5781 1.1644 -4.1207
-4.6606 -5.0912 2.6101
-2.4068 3.8593 3.2329
Bi Pd Ag
2 7 2
direct
0.8034 0.5000 0.8034
0.1966 0.5000 0.1966
0.0000 0.0000 0.0000
0.4996 0.2427 0.9998
0.0002 0.2427 0.5004
0.4999 0.3158 0.5001
0.5004 0.7573 0.0002
0.9998 0.7573 0.4996
0.5001 0.6842 0.4999
0.6694 0.0003 0.3306
0.3306 0.9997 0.6694
```

Computed properties:
Calculated formation energy in eV/atom: 0.19
Electronic total energy in eV per atom: -4.34
Magnetic moment in μB/cell: 0.00